Computed, not measured: Sc2Mo3O12 after structural relaxation at the PBE+U level of DFT.

Results
- Density of states at the Fermi level: 0.00 states/eV/cell
- Calculated volume: 19.07 A^3/atom
- Total energy: -524.8 eV for the cell shown

POSCAR file:
```
Sc2Mo3O12
1.0
13.5868 0.0000 0.0000
0.0000 9.7206 0.0000
0.0000 0.0000 9.8200
Sc Mo O
8 12 48
Direct
0.1180 0.2496 0.0331
0.1180 0.7504 0.5331
0.3820 0.2504 0.5331
0.3820 0.7496 0.0331
0.6180 0.2504 0.9669
0.6180 0.7496 0.4669
0.8820 0.2496 0.4669
0.8820 0.7504 0.9669
0.0000 0.0269 0.7500
0.0000 0.9731 0.2500
0.1442 0.3925 0.3852
0.1442 0.6075 0.8852
0.3558 0.1075 0.8852
0.3558 0.8925 0.3852
0.5000 0.4731 0.2500
0.5000 0.5269 0.7500
0.6442 0.1075 0.6148
0.6442 0.8925 0.1148
0.8558 0.3925 0.1148
0.8558 0.6075 0.6148
0.0288 0.3191 0.4335
0.0288 0.6809 0.9335
0.0646 0.1332 0.8690
0.0646 0.8668 0.3690
0.0868 0.0802 0.1624
0.0868 0.9198 0.6624
0.1407 0.4251 0.9123
0.1407 0.5749 0.4123
0.1646 0.3588 0.2079
0.1646 0.6412 0.7079
0.2404 0.3179 0.4865
0.2404 0.6821 0.9865
0.2596 0.1821 0.9865
0.2596 0.8179 0.4865
0.3354 0.1412 0.7079
0.3354 0.8588 0.2079
0.3593 0.0749 0.4123
0.3593 0.9251 0.9123
0.4132 0.4198 0.6624
0.4132 0.5802 0.1624
0.4354 0.3668 0.3690
0.4354 0.6332 0.8690
0.4712 0.1809 0.9335
0.4712 0.8191 0.4335
0.5288 0.1809 0.5665
0.5288 0.8191 0.0665
0.5646 0.3668 0.1310
0.5646 0.6332 0.6310
0.5868 0.4198 0.8376
0.5868 0.5802 0.3376
0.6407 0.0749 0.0877
0.6407 0.9251 0.5877
0.6646 0.1412 0.7921
0.6646 0.8588 0.2921
0.7404 0.1821 0.5135
0.7404 0.8179 0.0135
0.7596 0.3179 0.0135
0.7596 0.6821 0.5135
0.8354 0.3588 0.2921
0.8354 0.6412 0.7921
0.8593 0.4251 0.5877
0.8593 0.5749 0.0877
0.9132 0.0802 0.3376
0.9132 0.9198 0.8376
0.9354 0.1332 0.6310
0.9354 0.8668 0.1310
0.9712 0.3191 0.0665
0.9712 0.6809 0.5665
```